(1)
The following is a DFT calculation (PBE) of HfTaRe2I after structural relaxation.

Structure (POSCAR):
```
HfTaRe2I
1.0
4.864 0.000 0.000
0.000 5.207 0.000
0.000 0.000 4.864
Ta Re Hf I
1 2 1 1
Direct
0.000 0.000 0.000 Ta
0.500 0.000 0.000 Re
0.000 0.000 0.500 Re
0.000 0.500 0.000 Hf
0.500 0.500 0.500 I
```

Computed properties:
For the total moment, the calculation gives 1.90 μB/f.u. The crystal system is tetragonal. The value obtained for the energy is -7.714 eV per atom. The space-group type is P4/mmm. Its density of states at the Fermi level is 1.20 states/eV/atom.

(2)
The following is a DFT calculation (PBE) of W2AuBr after structural relaxation.

Structure (POSCAR):
```
W2AuBr
1.0
3.158 0.000 0.000
0.000 3.158 0.000
0.000 0.000 8.262
Br W Au
1 2 1
Direct
0.500 0.500 0.804 Br
0.500 0.500 0.212 W
0.000 0.000 0.042 W
0.000 0.000 0.441 Au
```

Computed properties:
Its energy above the most stable polymorph in this dataset is 50.7 meV per atom. For the total moment, the calculation gives 0.00 μB/f.u. The crystal system is tetragonal. The value obtained for the energy is -7.113 eV per atom. The space-group type is P4mm. Its density of states at the Fermi level is 0.77 states/eV/atom.

(3)
The following is a DFT calculation (PBE) of KCrHgSb2 after structural relaxation.

Structure (POSCAR):
```
KCrHgSb2
1.0
-3.276 4.441 1.023
-3.897 -1.981 -3.880
-2.601 -2.857 4.071
Hg Sb Cr K
1 2 1 1
Direct
0.000 0.000 0.000 Hg
0.500 0.000 0.000 Sb
0.000 0.000 0.500 Sb
0.500 0.500 0.500 Cr
0.000 0.500 0.000 K
```

Computed properties:
For the total moment, the calculation gives 4.78 μB/f.u. The crystal system is tetragonal. The value obtained for the energy is -3.079 eV per atom. The space-group type is P4/mmm. Its density of states at the Fermi level is 0.52 states/eV/atom.